[1]
## Sr2AsI (PBE-GGA)

Data for a geometry-optimized Sr2AsI structure.

As for the uncorrected formation energy: -1.380 eV/atom. The value obtained for the energy is -30.17 eV per cell. The total magnetic moment is 0.00 μB/f.u.

The structure belongs to space group Pmmn (No. 59, origin choice 2); the cell edges are 4.543, 7.942 and 8.212 Å and the angles 90.00°, 90.00° and 90.00°. Symmetry generates all atoms from Sr at (0.250, 0.011, 0.201), As at (0.250, 0.750, 0.916) and I at (0.250, 0.250, 0.576).

[2]
## Sr3AsI3 (PBE-GGA)

Data for a geometry-optimized Sr3AsI3 structure.

As for the uncorrected formation energy: -1.574 eV/atom. The value obtained for the energy is -50.72 eV per cell. The total magnetic moment is 0.00 μB/f.u.

The structure belongs to space group P2_1/m (No. 11); the cell edges are 9.487, 4.654 and 13.160 Å and the angles 90.00°, 92.03° and 90.00°. Symmetry generates all atoms from Sr at (0.094, 0.250, 0.389), Sr at (0.136, 0.250, 0.861), Sr at (0.345, 0.750, 0.632), As at (0.128, 0.250, 0.627), I at (0.117, 0.250, 0.125), I at (0.376, 0.750, 0.375) and I at (0.379, 0.750, 0.882).

[3]
## Sr4As2I (PBE-GGA)

Data for a geometry-optimized Sr4As2I structure.

As for the uncorrected formation energy: -1.200 eV/atom. The value obtained for the energy is -77.94 eV per cell. The total magnetic moment is 0.00 μB/f.u.

The structure belongs to space group R-3m (No. 166, hexagonal axes); the cell edges are 4.6006, 4.6006 and 46.2995 Å and the angles 90.00°, 90.00° and 120.00°. Symmetry generates all atoms from Sr at (0.0000, 0.0000, 0.1200), Sr at (0.0000, 0.0000, 0.2817), As at (0.0000, 0.0000, 0.4191) and I at (0.0000, 0.0000, 0.0000).